Density functional theory data (PBE-GGA) for crystalline KBeAg at its relaxed geometry.

abc: 4.8506 4.8506 4.8506
angles: 60.00 60.00 60.00
Last column: nearest neighbours and their distance in Å.
Positions (direct):
1 Ag 0.2500 0.2500 0.2500  4 Be 2.97
2 K 0.7500 0.7500 0.7500  4 Be 2.97
3 Be 0.0000 0.0000 0.0000  4 Ag 2.97, 4 K 2.97

Calculated values
**Crystal system**: cubic
**Relative energy among the computed polymorphs**: 0.00 eV/f.u.

***

Density functional theory data (PBE-GGA) for crystalline KBeAg at its relaxed geometry.

abc: 5.2676 5.2676 5.2676
angles: 60.00 60.00 60.00
Last column: nearest neighbours and their distance in Å.
Positions (direct):
1 Ag 0.2500 0.2500 0.2500  4 K 3.23
2 K 0.0000 0.0000 0.0000  4 Ag 3.23, 4 Be 3.23
3 Be 0.7500 0.7500 0.7500  4 K 3.23

Calculated values
**Crystal system**: cubic
**Relative energy among the computed polymorphs**: 1.12 eV/f.u.

***

Density functional theory data (PBE-GGA) for crystalline KBeAg at its relaxed geometry.

abc: 4.9423 4.9423 4.9423
angles: 60.00 60.00 60.00
Last column: nearest neighbours and their distance in Å.
Positions (direct):
1 Ag 0.0000 0.0000 0.0000  4 K 3.03, 4 Be 3.03
2 K 0.7500 0.7500 0.7500  4 Ag 3.03
3 Be 0.2500 0.2500 0.2500  4 Ag 3.03

Calculated values
**Crystal system**: cubic
**Relative energy among the computed polymorphs**: 0.11 eV/f.u.

***

Density functional theory data (PBE-GGA) for crystalline LaBeAg at its relaxed geometry.

abc: 4.8878 4.8878 4.8878
angles: 60.00 60.00 60.00
Last column: nearest neighbours and their distance in Å.
Positions (direct):
1 Be 0.7500 0.7500 0.7500  4 La 2.99
2 Ag 0.2500 0.2500 0.2500  4 La 2.99
3 La 0.0000 0.0000 0.0000  4 Be 2.99, 4 Ag 2.99

Calculated values
**Crystal system**: cubic
**Relative energy among the computed polymorphs**: 1.38 eV/f.u.

***

Density functional theory data (PBE-GGA) for crystalline LaBeAg at its relaxed geometry.

abc: 4.7425 4.7425 4.7425
angles: 60.00 60.00 60.00
Last column: nearest neighbours and their distance in Å.
Positions (direct):
1 Be 0.2500 0.2500 0.2500  4 Ag 2.90
2 La 0.7500 0.7500 0.7500  4 Ag 2.90
3 Ag 0.0000 0.0000 0.0000  4 La 2.90, 4 Be 2.90

Calculated values
**Crystal system**: cubic
**Relative energy among the computed polymorphs**: 0.38 eV/f.u.

***

Density functional theory data (PBE-GGA) for crystalline LaBeAg at its relaxed geometry.

abc: 4.6282 4.6282 4.6282
angles: 60.00 60.00 60.00
Last column: nearest neighbours and their distance in Å.
Positions (direct):
1 Ag 0.2500 0.2500 0.2500  4 Be 2.83
2 La 0.7500 0.7500 0.7500  4 Be 2.83
3 Be 0.0000 0.0000 0.0000  4 Ag 2.83, 4 La 2.83

Calculated values
**Crystal system**: cubic
**Relative energy among the computed polymorphs**: 0.00 eV/f.u.

***

Density functional theory data (PBE-GGA) for crystalline La2BeSi2Ag at its relaxed geometry.

abc: 4.2094 4.2094 8.7184
angles: 90.00 90.00 120.00
Last column: nearest neighbours and their distance in Å.
Positions (direct):
1 Si 0.6667 0.3333 0.5000  3 Be 2.43
2 Ag 0.6667 0.3333 0.0000  3 Si 2.43
3 La 0.0000 0.0000 0.7449  3 Be 3.23, 6 Si 3.23-3.29, 3 Ag 3.29
4 La 0.0000 0.0000 0.2551  3 Be 3.23, 6 Si 3.23-3.29, 3 Ag 3.29
5 Be 0.3333 0.6667 0.5000  3 Si 2.43
6 Si 0.3333 0.6667 0.0000  3 Ag 2.43

Calculated values
**Crystal system**: hexagonal

***

Density functional theory data (PBE-GGA) for crystalline LiBe3Ag at its relaxed geometry.

abc: 5.7945 5.7945 5.7945
angles: 135.45 117.85 79.65
Last column: nearest neighbours and their distance in Å.
Positions (direct):
1 Be 0.1858 0.5000 0.1858  5 Be 2.20-2.22
2 Be 0.5333 0.7833 0.7500  6 Be 2.20-2.28, 2 Ag 2.44, 1 Li 2.45
3 Be 0.1858 0.0000 0.6858  5 Be 2.20-2.22
4 Ag 0.5000 0.0000 0.5000  6 Be 2.44-2.51, 4 Li 2.66
5 Be 0.8142 0.5000 0.8142  5 Be 2.20-2.22
6 Ag 0.0000 0.0000 0.0000  6 Be 2.44-2.51, 4 Li 2.66
7 Be 0.4667 0.2167 0.2500  6 Be 2.20-2.28, 2 Ag 2.44, 1 Li 2.45
8 Li 0.2577 0.5077 0.7500  1 Be 2.45, 4 Ag 2.66
9 Li 0.7423 0.4923 0.2500  1 Be 2.45, 4 Ag 2.66
10 Be 0.8142 0.0000 0.3142  5 Be 2.20-2.22

Calculated values
**Crystal system**: orthorhombic

***

Density functional theory data (PBE-GGA) for crystalline Lu2BeAg at its relaxed geometry.

abc: 4.8291 4.8291 4.8291
angles: 60.00 60.00 60.00
Last column: nearest neighbours and their distance in Å.
Positions (direct):
1 Lu 0.7500 0.7500 0.7500  4 Lu 2.96, 4 Be 2.96
2 Ag 0.2500 0.2500 0.2500  4 Be 2.96, 4 Lu 2.96
3 Lu 0.0000 0.0000 0.0000  4 Lu 2.96, 4 Ag 2.96
4 Be 0.5000 0.5000 0.5000  4 Ag 2.96, 4 Lu 2.96

Calculated values
**Crystal system**: cubic

***

Density functional theory data (PBE-GGA) for crystalline LuBe2Ag at its relaxed geometry.

abc: 4.4555 4.4555 4.4555
angles: 60.00 60.00 60.00
Last column: nearest neighbours and their distance in Å.
Positions (direct):
1 Be 0.7500 0.7500 0.7500  4 Be 2.73, 4 Ag 2.73
2 Ag 0.5000 0.5000 0.5000  4 Lu 2.73, 4 Be 2.73
3 Be 0.0000 0.0000 0.0000  4 Lu 2.73, 4 Be 2.73
4 Lu 0.2500 0.2500 0.2500  4 Be 2.73, 4 Ag 2.73

Calculated values
**Crystal system**: cubic

***

Density functional theory data (PBE-GGA) for crystalline LuBeAg2 at its relaxed geometry.

abc: 4.6313 4.6313 4.6313
angles: 60.00 60.00 60.00
Last column: nearest neighbours and their distance in Å.
Positions (direct):
1 Ag 0.0000 0.0000 0.0000  4 Lu 2.84, 4 Ag 2.84
2 Lu 0.2500 0.2500 0.2500  4 Be 2.84, 4 Ag 2.84
3 Ag 0.7500 0.7500 0.7500  4 Be 2.84, 4 Ag 2.84
4 Be 0.5000 0.5000 0.5000  4 Lu 2.84, 4 Ag 2.84

Calculated values
**Crystal system**: cubic

***

Density functional theory data (PBE-GGA) for crystalline Mg2BeAg at its relaxed geometry.

abc: 4.4987 4.4987 4.4987
angles: 60.00 60.00 60.00
Last column: nearest neighbours and their distance in Å.
Positions (direct):
1 Ag 0.2500 0.2500 0.2500  4 Be 2.75, 4 Mg 2.75
2 Be 0.5000 0.5000 0.5000  4 Ag 2.75, 4 Mg 2.75
3 Mg 0.0000 0.0000 0.0000  4 Ag 2.75, 4 Mg 2.75
4 Mg 0.7500 0.7500 0.7500  4 Be 2.75, 4 Mg 2.75

Calculated values
**Crystal system**: cubic

***

Density functional theory data (PBE-GGA) for crystalline BeAgNO at its relaxed geometry.

abc: 3.0556 4.6132 5.8600
angles: 90.00 90.00 90.00
Last column: nearest neighbours and their distance in Å.
Positions (direct):
1 O 0.5000 0.3444 0.1047  2 Be 1.58-1.59
2 N 0.0000 0.9260 0.2726  2 Be 1.77
3 Ag 0.0000 0.4813 0.3696  2 N 2.11-2.13, 2 O 2.27
4 Be 0.5000 0.0023 0.1336  2 O 1.58-1.59
5 N 0.0000 0.4260 0.7274  2 Be 1.77
6 Ag 0.0000 0.9813 0.6304  2 N 2.11-2.13, 2 O 2.27
7 Be 0.5000 0.5023 0.8664  2 O 1.58-1.59
8 O 0.5000 0.8444 0.8953  2 Be 1.58-1.59

Calculated values
**Crystal system**: orthorhombic
**Relative energy among the computed polymorphs**: 0.51 eV/f.u.

***

Number 1: V 80.7 Å³/cell, E_tot -5.19 eV for the cell shown. Number 2: V 103.4 Å³/cell, E_tot -4.07 eV for the cell shown. Number 3: V 85.4 Å³/cell, E_tot -5.08 eV for the cell shown. Number 4: V 82.6 Å³/cell, E_tot -9.45 eV for the cell shown. Number 5: V 75.4 Å³/cell, E_tot -10.46 eV for the cell shown. Number 6: V 70.1 Å³/cell, E_tot -10.83 eV for the cell shown. Number 7: V 133.8 Å³/cell, E_tot -30.15 eV for the cell shown. Number 8: V 117.0 Å³/cell, E_tot -30.63 eV for the cell shown. Number 9: V 79.6 Å³/cell, E_tot -14.56 eV for the cell shown. Number 10: V 62.5 Å³/cell, E_tot -14.13 eV for the cell shown. Number 11: V 70.2 Å³/cell, E_tot -13.76 eV for the cell shown. Number 12: V 64.4 Å³/cell, E_tot -9.13 eV for the cell shown. Number 13: V 82.6 Å³/cell, E_tot -41.89 eV for the cell shown.